# Pu3Ga2Pd6

A relaxed Pu3Ga2Pd6 crystal (PBE, the Alexandria database).

Total energy in Ry/atom: -0.5778
Calculated formation energy in eV/atom: -0.570
SG: Im-3m, No. 229

Cell and atoms, written as extended XYZ:
```
22
Lattice="-0.6768 -1.2541 -8.0728 7.9047 0.9146 1.9700 -3.0949 -6.4308 4.0332" Properties=species:S:1:pos:R:3 pbc="T T T"
Pd 0.0705 -4.7941 -2.0360
Pd 3.7826 -2.3151 -2.7323
Pd 4.1925 -1.5643 2.6663
Pd 2.9666 -4.0622 1.3533
Pd 5.0086 0.1827 -1.4193
Pd 0.3503 -4.4551 0.6627
Pd -1.4929 -3.0011 -3.9872
Pd -2.2788 -4.6838 -0.0523
Pd 2.2193 -0.5222 -4.6835
Pd 4.0625 -1.9762 -0.0336
Pd 0.6173 -3.9519 3.3369
Pd 1.1664 -2.7081 -3.4229
Ga 3.9523 0.4573 0.9850
Ga -1.5474 -3.2154 2.0166
Ga 2.0665 -3.3851 -1.0348
Ga -0.3384 -0.6270 -4.0364
Pu 1.3384 -1.5350 1.6705
Pu 3.4713 -3.9812 4.3327
Pu 5.2165 -0.2450 -4.4046
Pu -2.7221 -5.5464 -2.9155
Pu -1.0496 -2.1385 -1.1241
Pu 2.0113 -0.0945 -1.6982
```